Density functional theory data (PBE) for a geometry-optimized Mg2Hg2O5 structure.

a b c (Å): 3.7720 3.7720 7.9083
angles (deg): 90.00 90.00 90.00
Atoms (fractional coordinates):
Mg (0.0000, 0.0000, 0.2497)
Mg (0.0000, 0.0000, 0.7503)
Hg (0.5000, 0.5000, 0.0000)
Hg (0.5000, 0.5000, 0.5000)
O (0.0000, 0.0000, 0.0000)
O (0.0000, 0.5000, 0.3210)
O (0.0000, 0.5000, 0.6790)
O (0.5000, 0.0000, 0.3210)
O (0.5000, 0.0000, 0.6790)

Output
DFT total energy, eV/atom: -4.0956
SG: P4/mmm (123)
ρ, g/cm3: 7.82


Density functional theory data (PBE) for a geometry-optimized MgHgPO structure.

a b c (Å): 3.3405 6.9643 6.4028
angles (deg): 90.00 90.00 90.00
Atoms (fractional coordinates):
Mg (0.0000, 0.2483, 0.0000)
Mg (0.0000, 0.7517, 0.5000)
Hg (0.5000, 0.1867, 0.5569)
Hg (0.5000, 0.8133, 0.0569)
P (0.0000, 0.4002, 0.3675)
P (0.0000, 0.5998, 0.8675)
O (0.5000, 0.1296, 0.9212)
O (0.5000, 0.8704, 0.4212)

Output
DFT total energy, eV/atom: -3.6917
ΔE to the lowest computed polymorph, meV per atom: 118.9
SG: Pmc2_1 (26)
ρ, g/cm3: 6.06


Density functional theory data (PBE) for a geometry-optimized MgHgPO structure.

a b c (Å): 3.2833 7.0861 6.3239
angles (deg): 90.00 90.00 90.00
Atoms (fractional coordinates):
Mg (0.0000, 0.0997, 0.0000)
Mg (0.0000, 0.9003, 0.5000)
Hg (0.5000, 0.3316, 0.4053)
Hg (0.5000, 0.6684, 0.9053)
P (0.5000, 0.3322, 0.8110)
P (0.5000, 0.6678, 0.3110)
O (0.0000, 0.1054, 0.3024)
O (0.0000, 0.8946, 0.8024)

Output
DFT total energy, eV/atom: -3.7037
ΔE to the lowest computed polymorph, meV per atom: 107.0
SG: Pmc2_1 (26)
ρ, g/cm3: 6.14


Density functional theory data (PBE) for a geometry-optimized MgHgPO structure.

a b c (Å): 4.4287 4.4287 8.9864
angles (deg): 90.00 90.00 90.00
Atoms (fractional coordinates):
Mg (0.2500, 0.7500, 0.0000)
Mg (0.7500, 0.2500, 0.0000)
Hg (0.2500, 0.2500, 0.4148)
Hg (0.7500, 0.7500, 0.5852)
P (0.2500, 0.2500, 0.1380)
P (0.7500, 0.7500, 0.8620)
O (0.2500, 0.7500, 0.5000)
O (0.7500, 0.2500, 0.5000)

Output
DFT total energy, eV/atom: -3.1432
ΔE to the lowest computed polymorph, meV per atom: 667.5
SG: P4/nmm (129)
ρ, g/cm3: 5.12